Record 1
The following is a PBE-GGA calculation of a relaxed structure of KNi2Rh, from Alexandria.

Cell and atoms, written as POSCAR:
```
KNi2Rh
1.0
2.8649 0.0000 0.0000
0.0000 2.8649 0.0000
0.0000 0.0000 8.1552
K Ni Rh
1 2 1
Cartesian
0.0000 0.0000 0.0000 K
0.0000 0.0000 3.9510 Ni
1.4324 1.4324 2.6448 Ni
1.4324 1.4324 5.4951 Rh
```

Results
N(E_F) = 1.206 states/eV/atom
spin magnetization = 1.70 Bohr magnetons per cell
ΔH_f (0 K) = 499 meV/atom

Record 2
The following is a PBE-GGA calculation of a relaxed structure of KNi2Rh, from Alexandria.

Cell and atoms, written as POSCAR:
```
KNi2Rh
1.0
4.8133 0.0000 0.0000
0.0000 4.8133 0.0000
0.0000 0.0000 2.6826
K Ni Rh
1 2 1
Cartesian
0.0000 0.0000 0.0000 K
0.0000 2.4066 1.3413 Ni
2.4066 0.0000 1.3413 Ni
2.4066 2.4066 0.0000 Rh
```

Results
N(E_F) = 1.916 states/eV/atom
spin magnetization = 1.29 Bohr magnetons per cell
ΔH_f (0 K) = 792 meV/atom

Record 3
The following is a PBE-GGA calculation of a relaxed structure of KNiRh3, from Alexandria.

Cell and atoms, written as POSCAR:
```
KNiRh3
1.0
4.6375 0.0000 0.0000
0.0000 4.6375 0.0000
0.0000 0.0000 4.6375
K Ni Rh
1 1 3
Cartesian
0.0000 0.0000 0.0000 K
2.3187 2.3187 2.3187 Ni
0.0000 0.0000 2.3187 Rh
0.0000 2.3187 0.0000 Rh
2.3187 0.0000 0.0000 Rh
```

Results
N(E_F) = 4.403 states/eV/atom
spin magnetization = 0.00 Bohr magnetons per cell
ΔH_f (0 K) = 2551 meV/atom

Record 4
The following is a PBE-GGA calculation of a relaxed structure of KNiRh2, from Alexandria.

Cell and atoms, written as POSCAR:
```
KNiRh2
1.0
2.7934 -4.9216 0.0000
2.7934 4.9216 0.0000
-1.1794 0.0000 2.4023
K Ni Rh
1 1 2
Cartesian
0.0000 0.0000 0.0000 K
2.7934 0.0000 0.0000 Ni
0.8070 2.4608 1.2012 Rh
0.8070 -2.4608 1.2012 Rh
```

Results
N(E_F) = 1.877 states/eV/atom
spin magnetization = 1.56 Bohr magnetons per cell
ΔH_f (0 K) = 814 meV/atom

Record 5
The following is a PBE-GGA calculation of a relaxed structure of KNiRh2, from Alexandria.

Cell and atoms, written as POSCAR:
```
KNiRh2
1.0
0.0000 3.2297 3.2297
3.2297 0.0000 3.2297
3.2297 3.2297 0.0000
K Ni Rh
1 1 2
Cartesian
0.0000 0.0000 0.0000 K
4.8445 4.8445 4.8445 Ni
1.6148 1.6148 1.6148 Rh
3.2297 3.2297 3.2297 Rh
```

Results
N(E_F) = 1.510 states/eV/atom
spin magnetization = 2.53 Bohr magnetons per cell
ΔH_f (0 K) = 933 meV/atom

Record 6
The following is a PBE-GGA calculation of a relaxed structure of KNiRh2, from Alexandria.

Cell and atoms, written as POSCAR:
```
KNiRh2
1.0
2.7460 0.0000 0.0000
0.0000 4.8584 0.0000
0.0000 0.0000 4.9764
K Ni Rh
1 1 2
Cartesian
0.0000 0.0000 0.0000 K
1.3730 2.4292 0.0000 Ni
0.0000 2.4292 2.4882 Rh
1.3730 0.0000 2.4882 Rh
```

Results
N(E_F) = 1.861 states/eV/atom
spin magnetization = 1.77 Bohr magnetons per cell
ΔH_f (0 K) = 834 meV/atom

Record 7
The following is a PBE-GGA calculation of a relaxed structure of KNiRh2, from Alexandria.

Cell and atoms, written as POSCAR:
```
KNiRh2
1.0
2.7993 -4.4571 0.0000
2.7993 4.4571 0.0000
0.0000 0.0000 2.6246
K Ni Rh
1 1 2
Cartesian
0.0000 0.0000 0.0000 K
2.7993 0.0000 0.0000 Ni
1.3996 2.2285 1.3123 Rh
1.3996 -2.2285 1.3123 Rh
```

Results
N(E_F) = 1.528 states/eV/atom
spin magnetization = 0.43 Bohr magnetons per cell
ΔH_f (0 K) = 836 meV/atom

Record 8
The following is a PBE-GGA calculation of a relaxed structure of KNiRh, from Alexandria.

Cell and atoms, written as POSCAR:
```
KNiRh
1.0
0.0000 3.2325 3.2325
3.2325 0.0000 3.2325
3.2325 3.2325 0.0000
K Ni Rh
1 1 1
Cartesian
0.0000 0.0000 0.0000 K
4.8487 4.8487 4.8487 Ni
1.6162 1.6162 1.6162 Rh
```

Results
N(E_F) = 3.001 states/eV/atom
spin magnetization = 1.36 Bohr magnetons per cell
ΔH_f (0 K) = 1819 meV/atom

Record 9
The following is a PBE-GGA calculation of a relaxed structure of KNiRh4, from Alexandria.

Cell and atoms, written as POSCAR:
```
KNiRh4
1.0
0.0000 3.7286 3.7286
3.7286 0.0000 3.7286
3.7286 3.7286 0.0000
K Ni Rh
1 1 4
Cartesian
0.0000 0.0000 0.0000 K
5.5929 5.5929 5.5929 Ni
2.8014 2.8014 2.8014 Rh
4.6558 4.6558 2.8014 Rh
4.6558 2.8014 4.6558 Rh
2.8014 4.6558 4.6558 Rh
```

Results
N(E_F) = 1.962 states/eV/atom
spin magnetization = 4.08 Bohr magnetons per cell
ΔH_f (0 K) = 689 meV/atom

Record 10
The following is a PBE-GGA calculation of a relaxed structure of KNiRh2, from Alexandria.

Cell and atoms, written as POSCAR:
```
KNiRh2
1.0
0.0000 3.2152 3.2152
3.2152 0.0000 3.2152
3.2152 3.2152 0.0000
K Ni Rh
1 1 2
Cartesian
0.0000 0.0000 0.0000 K
3.2152 3.2152 3.2152 Ni
1.6076 1.6076 1.6076 Rh
4.8228 4.8228 4.8228 Rh
```

Results
N(E_F) = 1.438 states/eV/atom
spin magnetization = 2.63 Bohr magnetons per cell
ΔH_f (0 K) = 994 meV/atom

Record 11
The following is a PBE-GGA calculation of a relaxed structure of KNi2Rh, from Alexandria.

Cell and atoms, written as POSCAR:
```
KNi2Rh
1.0
1.3862 0.8003 9.5829
-1.3862 0.8003 9.5829
0.0000 -1.6006 9.5829
K Ni Rh
1 2 1
Cartesian
0.0000 0.0000 0.0000 K
0.0000 0.0000 6.8252 Ni
0.0000 0.0000 21.9236 Ni
0.0000 0.0000 14.3744 Rh
```

Results
N(E_F) = 1.538 states/eV/atom
spin magnetization = 2.21 Bohr magnetons per cell
ΔH_f (0 K) = 673 meV/atom

Record 12
The following is a PBE-GGA calculation of a relaxed structure of KNi2Rh, from Alexandria.

Cell and atoms, written as POSCAR:
```
KNi2Rh
1.0
0.0000 3.1730 3.1730
3.1730 0.0000 3.1730
3.1730 3.1730 0.0000
K Ni Rh
1 2 1
Cartesian
0.0000 0.0000 0.0000 K
1.5865 1.5865 1.5865 Ni
3.1730 3.1730 3.1730 Ni
4.7596 4.7596 4.7596 Rh
```

Results
N(E_F) = 1.864 states/eV/atom
spin magnetization = 1.85 Bohr magnetons per cell
ΔH_f (0 K) = 1023 meV/atom

Record 13
The following is a PBE-GGA calculation of a relaxed structure of KNi2Rh, from Alexandria.

Cell and atoms, written as POSCAR:
```
KNi2Rh
1.0
2.9712 -3.8830 0.0000
2.9712 3.8830 0.0000
0.0000 0.0000 2.6744
K Ni Rh
1 2 1
Cartesian
0.0000 0.0000 0.0000 K
1.4856 1.9415 1.3372 Ni
1.4856 -1.9415 1.3372 Ni
2.9712 0.0000 0.0000 Rh
```

Results
N(E_F) = 1.202 states/eV/atom
spin magnetization = 1.44 Bohr magnetons per cell
ΔH_f (0 K) = 774 meV/atom

Record 14
The following is a PBE-GGA calculation of a relaxed structure of KNi2Rh, from Alexandria.

Cell and atoms, written as POSCAR:
```
KNi2Rh
1.0
-1.3239 2.4828 5.0102
1.3239 -2.4828 5.0102
1.3239 2.4828 -5.0102
K Ni Rh
1 2 1
Cartesian
0.0000 0.0000 0.0000 K
0.0000 0.0000 5.0908 Ni
0.0000 2.4828 2.1416 Ni
1.3239 0.0000 2.9282 Rh
```

Results
N(E_F) = 1.661 states/eV/atom
spin magnetization = 1.82 Bohr magnetons per cell
ΔH_f (0 K) = 675 meV/atom

Record 15
The following is a PBE-GGA calculation of a relaxed structure of KNiRh, from Alexandria.

Cell and atoms, written as POSCAR:
```
KNiRh
1.0
0.0000 3.1760 3.1760
3.1760 0.0000 3.1760
3.1760 3.1760 0.0000
K Ni Rh
1 1 1
Cartesian
0.0000 0.0000 0.0000 K
1.5880 1.5880 1.5880 Ni
3.1760 3.1760 3.1760 Rh
```

Results
N(E_F) = 1.979 states/eV/atom
spin magnetization = 1.53 Bohr magnetons per cell
ΔH_f (0 K) = 1148 meV/atom

Record 16
The following is a PBE-GGA calculation of a relaxed structure of KNiRh2, from Alexandria.

Cell and atoms, written as POSCAR:
```
KNiRh2
1.0
2.8433 0.0000 0.0000
0.0000 2.8433 0.0000
0.0000 0.0000 8.6571
K Ni Rh
1 1 2
Cartesian
0.0000 0.0000 0.0000 K
1.4217 1.4217 2.6657 Ni
0.0000 0.0000 4.2131 Rh
1.4217 1.4217 5.9558 Rh
```

Results
N(E_F) = 1.223 states/eV/atom
spin magnetization = 0.47 Bohr magnetons per cell
ΔH_f (0 K) = 475 meV/atom